1.
This record from Alexandria via LeMat-Bulk describes a relaxed ScMoOs crystal. The functional is PBE.

Structure (POSCAR):
```
ScMoOs
1.0
-2.621 2.753 3.636
2.621 -2.753 3.636
2.621 2.753 -3.636
Sc Mo Os
2 2 2
Direct
0.380 0.130 0.250 Sc
0.620 0.870 0.750 Sc
0.000 0.000 0.500 Mo
0.000 0.500 0.000 Mo
0.000 0.500 0.500 Os
0.500 0.500 0.000 Os
```

## Properties
Formation energy from the elements (eV per atom): -0.27
Symmetry: Imma

2.
This record from Alexandria via LeMat-Bulk describes a relaxed Sc2MoOs2 crystal. The functional is PBE.

Structure (POSCAR):
```
Sc2MoOs2
1.0
6.521 0.000 0.000
0.000 6.521 0.000
0.000 0.000 4.387
Sc Mo Os
4 2 4
Direct
0.178 0.322 0.000 Sc
0.322 0.822 0.000 Sc
0.678 0.178 0.000 Sc
0.822 0.678 0.000 Sc
0.000 0.000 0.500 Mo
0.500 0.500 0.500 Mo
0.132 0.632 0.500 Os
0.368 0.132 0.500 Os
0.632 0.868 0.500 Os
0.868 0.368 0.500 Os
```

## Properties
Formation energy from the elements (eV per atom): -0.13
Symmetry: P4/mbm

3.
This record from Alexandria via LeMat-Bulk describes a relaxed ScMoOs crystal. The functional is PBE.

Structure (POSCAR):
```
ScMoOs
1.0
0.000 2.312 6.778
1.584 0.000 6.778
1.584 2.312 0.000
Sc Mo Os
1 1 1
Direct
0.000 0.000 0.000 Sc
0.680 0.680 0.320 Mo
0.336 0.336 0.664 Os
```

## Properties
Formation energy from the elements (eV per atom): 0.12
Symmetry: Fmm2

4.
This record from Alexandria via LeMat-Bulk describes a relaxed ScMoOs crystal. The functional is PBE.

Structure (POSCAR):
```
ScMoOs
1.0
4.432 0.000 0.000
-2.216 3.838 0.000
0.000 0.000 2.879
Sc Mo Os
1 1 1
Direct
0.000 0.000 0.000 Sc
0.333 0.667 0.346 Mo
0.667 0.333 0.634 Os
```

## Properties
Formation energy from the elements (eV per atom): -0.06
Symmetry: P3m1